The following is a GGA-PBE calculation of an optimized crystal structure of SrB2AsPd, from the Alexandria database.

Cell lengths 4.376, 4.376, 4.799 Å; angles 90.00, 90.00, 90.00 degrees
Fractional positions:
Sr 0.000 0.000 0.000
B 0.000 0.500 0.500
B 0.500 0.000 0.500
As 0.500 0.500 0.500
Pd 0.500 0.500 0.000

Magnetization   0.00 μB per cell
N(E_F)   2.4 states/eV/f.u.
Energy of formation   74 kJ/mol of atoms
SG   P4/mmm
VASP energy   -4.20 eV/atom



The following is a GGA-PBE calculation of an optimized crystal structure of Ta2BAsPd, from the Alexandria database.

Cell lengths 4.937, 4.937, 4.421 Å; angles 90.00, 90.00, 90.00 degrees
Fractional positions:
Ta 0.000 0.500 0.000
Ta 0.500 0.000 0.000
B 0.000 0.000 0.500
As 0.500 0.500 0.500
Pd 0.500 0.500 0.000

Magnetization   0.00 μB per cell
N(E_F)   5.9 states/eV/f.u.
Energy of formation   202 kJ/mol of atoms
SG   P4/mmm
VASP energy   -5.96 eV/atom



The following is a GGA-PBE calculation of an optimized crystal structure of Zr2BAsPd, from the Alexandria database.

Cell lengths 4.661, 4.661, 4.066 Å; angles 90.00, 90.00, 90.00 degrees
Fractional positions:
Zr 0.000 0.500 0.000
Zr 0.500 0.000 0.000
B 0.000 0.000 0.000
As 0.500 0.500 0.500
Pd 0.000 0.000 0.500

Magnetization   0.00 μB per cell
N(E_F)   3.0 states/eV/f.u.
Energy of formation   -44 kJ/mol of atoms
SG   P4/mmm
VASP energy   -7.18 eV/atom



The following is a GGA-PBE calculation of an optimized crystal structure of Pm4BAs2, from the Alexandria database.

Cell lengths 4.919, 4.919, 15.506 Å; angles 90.00, 90.00, 90.00 degrees
Fractional positions:
Pm 0.000 0.000 0.172
Pm 0.000 0.000 0.828
Pm 0.000 0.500 0.000
Pm 0.000 0.500 0.500
Pm 0.500 0.000 0.000
Pm 0.500 0.000 0.500
Pm 0.500 0.500 0.328
Pm 0.500 0.500 0.672
B 0.000 0.000 0.000
B 0.500 0.500 0.500
As 0.000 0.000 0.365
As 0.000 0.000 0.635
As 0.500 0.500 0.135
As 0.500 0.500 0.865

Magnetization   0.00 μB per cell
N(E_F)   3.5 states/eV/f.u.
Energy of formation   -64 kJ/mol of atoms
SG   I4/mmm
VASP energy   -5.66 eV/atom